Entry from Alexandria: SrMg14MnO16 after structural relaxation (GGA+U).

Cell: 8.6813 8.6813 4.4069 Å, 90.00 90.00 90.00°
Closest atoms and distances in Å follow each position.
Positions (direct):
Sr 0.0000 0.0000 0.0000  6 O 2.20-2.35
Mg 0.0000 0.2597 0.5000  6 O 2.09-2.25
Mg 0.0000 0.5000 0.0000  6 O 1.99-2.20
Mg 0.0000 0.7403 0.5000  6 O 2.09-2.25
Mg 0.2492 0.5000 0.5000  6 O 2.16-2.20
Mg 0.2546 0.2546 0.0000  6 O 2.13-2.22
Mg 0.2546 0.7454 0.0000  6 O 2.13-2.22
Mg 0.2597 0.0000 0.5000  6 O 2.09-2.25
Mg 0.5000 0.0000 0.0000  6 O 1.99-2.20
Mg 0.5000 0.2492 0.5000  6 O 2.16-2.20
Mg 0.5000 0.7508 0.5000  6 O 2.16-2.20
Mg 0.7403 0.0000 0.5000  6 O 2.09-2.25
Mg 0.7454 0.2546 0.0000  6 O 2.13-2.22
Mg 0.7454 0.7454 0.0000  6 O 2.13-2.22
Mg 0.7508 0.5000 0.5000  6 O 2.16-2.20
Mn 0.5000 0.5000 0.0000  6 O 2.20
O 0.0000 0.0000 0.5000  2 Sr 2.20, 4 Mg 2.25
O 0.0000 0.2709 0.0000  5 Mg 1.99-2.22
O 0.0000 0.5000 0.5000  6 Mg 2.09-2.20
O 0.0000 0.7291 0.0000  5 Mg 1.99-2.22
O 0.2470 0.5000 0.0000  5 Mg 2.13-2.20, 1 Mn 2.20
O 0.2506 0.2506 0.5000  6 Mg 2.17-2.20
O 0.2506 0.7494 0.5000  6 Mg 2.17-2.20
O 0.2709 0.0000 0.0000  5 Mg 1.99-2.22
O 0.5000 0.0000 0.5000  6 Mg 2.09-2.20
O 0.5000 0.2470 0.0000  5 Mg 2.13-2.20, 1 Mn 2.20
O 0.5000 0.5000 0.5000  4 Mg 2.18, 2 Mn 2.20
O 0.5000 0.7530 0.0000  5 Mg 2.13-2.20, 1 Mn 2.20
O 0.7291 0.0000 0.0000  5 Mg 1.99-2.22
O 0.7494 0.2506 0.5000  6 Mg 2.17-2.20
O 0.7494 0.7494 0.5000  6 Mg 2.17-2.20
O 0.7530 0.5000 0.0000  5 Mg 2.13-2.20, 1 Mn 2.20

Properties
SG   P4/mmm
E_tot   -6.014 eV/atom
Calculated density   3.69 g/cm3
Size of the total moment   5.00 μB/f.u.